This record from the Alexandria database describes an optimized crystal structure of CsRbNa2Sn. The functional is GGA-PBE.

## Properties
Polymorph energy (0 for the lowest one), eV/atom: 0.000
E_tot, eV/f.u.: -8.6
ΔH_f (0 K), eV/atom: -0.03
V, Å³ per atom: 55.30

Unit cell a=6.2591 b=6.2591 c=7.0584 alpha=90.00 beta=90.00 gamma=90.00
Positions (direct):
Cs  0.0000  0.0000  0.0000
Rb  0.5000  0.5000  0.0000
Na  0.0000  0.5000  0.5000
Na  0.5000  0.0000  0.5000
Sn  0.5000  0.5000  0.5000